[1]
Compound: ScWN
Source: Alexandria via LeMat-Bulk
Functional: PBE
Structure: optimized geometry

a b c (Å): 3.110 4.631 6.228
angles (deg): 96.98 90.00 109.62
Sites, in units of the cell vectors:
Sc 0.345 0.689 0.142
Sc 0.575 0.150 0.848
W 0.094 0.189 0.411
W 0.824 0.648 0.575
N 0.886 0.771 0.890
N 0.653 0.305 0.206

density = 9.6 g/cm3
size of the total moment = 0.00 μB per formula unit
E_form (uncorrected) = -589 meV per atom
total DFT energy (no corrections) = -58.8 eV/cell

[2]
Compound: HoTh6Se8
Source: Alexandria via LeMat-Bulk
Functional: PBE
Structure: optimized geometry

a b c (Å): 8.353 8.353 8.353
angles (deg): 60.00 60.00 60.00
Sites, in units of the cell vectors:
Ho 0.000 0.000 0.000
Th 0.000 0.500 0.500
Th 0.500 0.000 0.000
Th 0.500 0.500 0.000
Th 0.000 0.000 0.500
Th 0.000 0.500 0.000
Th 0.500 0.000 0.500
Se 0.750 0.750 0.750
Se 0.250 0.250 0.250
Se 0.749 0.251 0.251
Se 0.251 0.749 0.749
Se 0.251 0.251 0.749
Se 0.749 0.749 0.251
Se 0.749 0.251 0.749
Se 0.251 0.749 0.251

density = 8.8 g/cm3
size of the total moment = 0.00 μB per formula unit
E_form (uncorrected) = -1624 meV per atom
total DFT energy (no corrections) = -101.3 eV/cell

[3]
Compound: Sr3ZnHg
Source: Alexandria via LeMat-Bulk
Functional: PBE
Structure: optimized geometry

a b c (Å): 6.088 6.088 6.088
angles (deg): 90.00 90.00 90.00
Sites, in units of the cell vectors:
Sr 0.000 0.500 0.000
Sr 0.000 0.000 0.500
Sr 0.500 0.000 0.000
Zn 0.000 0.000 0.000
Hg 0.500 0.500 0.500

density = 3.9 g/cm3
size of the total moment = 0.00 μB per formula unit
formation energy from the elements = -0.01 eV/atom
distance to the lowest polymorph of the same formula = 1.44 eV/f.u.
total DFT energy (no corrections) = -6.7 eV/cell